Entry 1:
# PBE+U Pm2Fe2O5, relaxed
# Electronic total energy, eV per atom: -7.456
# M_tot, μB/f.u.: 8.0
# Fermi-level density of states, states/eV/cell: 0.08
# Crystal system: monoclinic
data_Pm2Fe2O5
_chemical_formula_sum 'Pm4 Fe4 O10'
_cell_length_a 8.6371
_cell_length_b 8.6371
_cell_length_c 5.5929
_cell_angle_alpha 108.55
_cell_angle_beta 108.55
_cell_angle_gamma 124.54
_space_group_name_H-M_alt 'P 1'
_space_group_IT_number 1
_space_group_name_Hall 'P 1'
loop_
_atom_site_label
_atom_site_type_symbol
_atom_site_fract_x
_atom_site_fract_y
_atom_site_fract_z
_atom_site_occupancy
Pm1 Pm 0.0829 0.3644 0.0044 1
Pm2 Pm 0.3644 0.0829 0.0044 1
Pm3 Pm 0.6356 0.9171 0.9956 1
Pm4 Pm 0.9171 0.6356 0.9956 1
Fe1 Fe 0.0000 0.5000 0.5000 1
Fe2 Fe 0.3108 0.3108 0.6229 1
Fe3 Fe 0.5000 0.0000 0.5000 1
Fe4 Fe 0.6892 0.6892 0.3771 1
O1 O 0.0539 0.2709 0.3545 1
O2 O 0.2583 0.7417 0.5000 1
O3 O 0.2709 0.0539 0.3545 1
O4 O 0.2842 0.7158 0.0000 1
O5 O 0.3380 0.3380 0.0281 1
O6 O 0.6620 0.6620 0.9719 1
O7 O 0.7158 0.2842 0.0000 1
O8 O 0.7291 0.9461 0.6455 1
O9 O 0.7417 0.2583 0.5000 1
O10 O 0.9461 0.7291 0.6455 1

Entry 2:
# PBE+U Pm2FeO5, relaxed
# Electronic total energy, eV per atom: -7.566
# M_tot, μB/f.u.: 4.0
# Fermi-level density of states, states/eV/cell: 12.48
# Crystal system: orthorhombic
data_Pm2FeO5
_chemical_formula_sum 'Pm8 Fe4 O20'
_cell_length_a 10.7368
_cell_length_b 3.8365
_cell_length_c 11.3977
_cell_angle_alpha 90.00
_cell_angle_beta 90.00
_cell_angle_gamma 90.00
_space_group_name_H-M_alt 'P 1'
_space_group_IT_number 1
_space_group_name_Hall 'P 1'
loop_
_atom_site_label
_atom_site_type_symbol
_atom_site_fract_x
_atom_site_fract_y
_atom_site_fract_z
_atom_site_occupancy
Pm1 Pm 0.0935 0.2500 0.2185 1
Pm2 Pm 0.1365 0.2500 0.5592 1
Pm3 Pm 0.3635 0.7500 0.0592 1
Pm4 Pm 0.4065 0.7500 0.7185 1
Pm5 Pm 0.5935 0.2500 0.2815 1
Pm6 Pm 0.6365 0.2500 0.9408 1
Pm7 Pm 0.8635 0.7500 0.4408 1
Pm8 Pm 0.9065 0.7500 0.7815 1
Fe1 Fe 0.1934 0.2500 0.8739 1
Fe2 Fe 0.3066 0.7500 0.3739 1
Fe3 Fe 0.6934 0.2500 0.6261 1
Fe4 Fe 0.8066 0.7500 0.1261 1
O1 O 0.0138 0.7500 0.6007 1
O2 O 0.0282 0.2500 0.8274 1
O3 O 0.2172 0.2500 0.0361 1
O4 O 0.2276 0.7500 0.2264 1
O5 O 0.2480 0.7500 0.8778 1
O6 O 0.2520 0.2500 0.3778 1
O7 O 0.2724 0.2500 0.7264 1
O8 O 0.2828 0.7500 0.5361 1
O9 O 0.4718 0.7500 0.3274 1
O10 O 0.4862 0.2500 0.1007 1
O11 O 0.5138 0.7500 0.8993 1
O12 O 0.5282 0.2500 0.6726 1
O13 O 0.7172 0.2500 0.4639 1
O14 O 0.7276 0.7500 0.2736 1
O15 O 0.7480 0.7500 0.6222 1
O16 O 0.7520 0.2500 0.1222 1
O17 O 0.7724 0.2500 0.7736 1
O18 O 0.7828 0.7500 0.9639 1
O19 O 0.9718 0.7500 0.1726 1
O20 O 0.9862 0.2500 0.3993 1